Entry 1:
BaNaIn4: optimized geometry, PBE-GGA.

abc: 6.3717 6.3717 6.3717
angles: 60.00 60.00 60.00
With the nearest neighbours (Å) after each atom.
Fractional coordinates of all 6 atoms:
Ba (0.0000, 0.0000, 0.0000)  12 In 3.74, 4 Na 3.90
Na (0.2500, 0.2500, 0.2500)  12 In 3.73, 4 Ba 3.90
In (0.1262, 0.6246, 0.6246)  6 In 3.18-3.20
In (0.6246, 0.1262, 0.6246)  6 In 3.18-3.20
In (0.6246, 0.6246, 0.1262)  6 In 3.18-3.20
In (0.6246, 0.6246, 0.6246)  6 In 3.18-3.20

**Energy relative to the elements**: -0.2874 eV/atom
**E**: -2.6533 eV per atom
**Excess energy over the best structure of this formula in the dataset**: 19 meV/atom
**Total magnetic moment**: 0.00 μB/f.u.
**Crystal system**: cubic

Entry 2:
BaNa4In2: optimized geometry, PBE-GGA.

abc: 10.6255 10.6255 4.4767
angles: 90.00 90.00 150.33
With the nearest neighbours (Å) after each atom.
Fractional coordinates of all 7 atoms:
Ba (0.0000, 0.0000, 0.0000)  8 In 3.82, 4 Na 4.09
Na (0.1667, 0.8333, 0.5000)  2 In 3.35, 4 Na 3.54
Na (0.3165, 0.6835, 0.0000)  2 In 3.21, 4 Na 3.54
Na (0.6835, 0.3165, 0.0000)  2 In 3.21, 4 Na 3.54
Na (0.8333, 0.1667, 0.5000)  2 In 3.35, 4 Na 3.54
In (0.4286, 0.5714, 0.5000)  1 In 2.93, 2 Na 3.21
In (0.5714, 0.4286, 0.5000)  1 In 2.93, 2 Na 3.21

**Energy relative to the elements**: -0.1283 eV/atom
**E**: -1.9391 eV per atom
**Total magnetic moment**: 0.00 μB/f.u.
**Crystal system**: orthorhombic